SmDyV2O8: relaxed, GGA+U.

a b c (Å): 6.063 6.063 6.063
angles (deg): 106.16 106.16 116.32
Fractional positions:
Sm  0.000  0.000  0.000
Dy  0.750  0.250  0.500
V  0.250  0.750  0.500
V  0.500  0.500  0.000
O  0.073  0.392  0.319
O  0.073  0.754  0.681
O  0.143  0.328  0.815
O  0.246  0.927  0.319
O  0.513  0.328  0.185
O  0.608  0.927  0.681
O  0.672  0.487  0.815
O  0.672  0.857  0.185

Output
As for the space-group type: No. 119. Its density of states at the Fermi level is 0.00 states/eV per cell. The calculated total energy comes out at -8.055 eV per atom.